1.
The following is a PBE calculation of an optimized crystal structure of LuTiAl2, from the Alexandria database.

The structure in POSCAR format:
```
LuTiAl2
1.0
-0.513 2.495 -2.283
-2.964 -1.443 -0.911
-3.086 3.492 4.510
Ti Al Lu
1 2 1
Cartesian
-1.739 0.526 -1.597
-0.652 0.738 0.953
-2.434 2.754 3.557
-3.282 2.272 0.658
```

Calculated values
Calculated formation energy ... -1.3 eV per formula unit



2.
The following is a PBE calculation of an optimized crystal structure of Pu2Si4NiRh3, from the Alexandria database.

The structure in POSCAR format:
```
Pu2Si4NiRh3
1.0
-0.380 -2.363 3.334
4.086 -0.236 0.299
0.047 8.042 5.704
Rh Si Pu Ni
3 4 2 1
Cartesian
0.023 4.021 2.852
2.049 0.917 0.883
-0.149 5.826 6.637
-0.161 3.861 5.243
1.853 -1.299 1.816
0.000 0.000 0.000
2.061 2.882 2.277
-0.178 0.818 3.085
2.078 5.925 4.435
1.877 2.722 4.668
```

Calculated values
E_form (uncorrected) ... -0.76 eV per atom



3.
The following is a PBE calculation of an optimized crystal structure of ThCd4Ag, from the Alexandria database.

The structure in POSCAR format:
```
ThCd4Ag
1.0
4.469 0.000 0.000
0.000 7.789 0.000
0.000 0.000 8.161
Cd Ag Th
8 2 2
Cartesian
2.235 5.308 3.665
0.000 0.000 4.081
2.235 2.481 7.746
2.235 5.308 0.415
0.000 0.000 0.000
2.235 0.494 2.040
2.235 7.296 6.121
2.235 2.481 4.496
0.000 1.805 6.121
0.000 5.984 2.040
0.000 4.849 6.121
0.000 2.940 2.040
```

Calculated values
Calculated formation energy ... -0.6 eV per formula unit



4.
The following is a PBE calculation of an optimized crystal structure of AcNd3Sm3, from the Alexandria database.

The structure in POSCAR format:
```
AcNd3Sm3
1.0
6.457 0.000 -2.283
-4.348 11.406 -5.447
2.239 0.000 13.177
Nd Sm Ac
12 12 4
Cartesian
-1.745 11.405 0.022
4.320 2.961 10.626
-0.028 8.445 5.179
3.797 0.000 2.284
1.828 5.218 10.126
2.295 9.178 -2.924
2.879 6.318 5.576
0.186 2.228 4.806
5.942 2.863 7.388
1.594 8.542 1.941
3.937 6.187 2.396
-1.468 5.087 0.128
4.900 6.099 8.501
-0.181 5.384 7.104
1.836 11.406 -0.163
-1.946 8.438 2.112
1.928 6.022 -0.626
-0.387 8.145 -4.850
-0.706 8.348 -1.230
3.961 3.261 0.597
2.402 2.967 7.558
4.314 0.000 8.447
3.642 3.057 4.217
0.552 5.307 3.054
2.680 9.358 -6.675
5.814 0.000 11.912
8.081 0.000 8.605
0.571 2.047 1.056
```

Calculated values
Calculated formation energy ... 0.8 eV per formula unit



5.
The following is a PBE calculation of an optimized crystal structure of CeMgZnGa2, from the Alexandria database.

The structure in POSCAR format:
```
CeMgZnGa2
1.0
4.264 0.000 0.000
0.000 4.264 0.000
-2.132 -2.132 5.641
Ce Mg Zn Ga
1 1 1 2
Cartesian
0.000 0.000 0.000
2.132 0.000 2.821
0.000 2.132 2.821
2.132 2.132 1.234
0.000 0.000 4.407
```

Calculated values
Calculated formation energy ... -2.0 eV per formula unit



6.
The following is a PBE calculation of an optimized crystal structure of ScPPtS2, from the Alexandria database.

The structure in POSCAR format:
```
ScPPtS2
1.0
-0.359 0.034 4.737
-0.824 -4.678 -0.029
4.922 -0.870 0.380
S Sc Pt P
2 1 1 1
Cartesian
-0.180 0.017 2.368
-0.412 -2.339 -0.015
0.000 0.000 0.000
1.869 -2.757 2.544
2.461 -0.435 0.190
```

Calculated values
E_form (uncorrected) ... 0.47 eV per atom



no.,theoretical density (g/cm³)
1,6.06
2,9.68
3,9.23
4,7.17
5,5.98
6,4.92